(1)
A geometry-optimized Ho2In2Hg structure, computed with PBE.

Summary:
For the density of states at the Fermi level, the calculation gives 3.49 states/eV/f.u. The value obtained for the excess energy over the best structure of this formula in the dataset is 0.000 eV/atom. Its formation energy is -2.0 eV/f.u.

CIF file:
```
data_Ho2In2Hg
_chemical_formula_sum 'Ho4 In4 Hg2'
_space_group_name_H-M_alt 'P 1'
_space_group_IT_number 1
_cell_length_a 4.7100
_cell_length_b 6.1092
_cell_length_c 10.1822
_cell_angle_alpha 90.13
_cell_angle_beta 76.63
_cell_angle_gamma 67.33
loop_
_space_group_symop_operation_xyz
'x,y,z'
loop_
_atom_site_label
_atom_site_type_symbol
_atom_site_fract_x
_atom_site_fract_y
_atom_site_fract_z
Ho1 Ho 0.9226 0.2520 0.9027
Ho2 Ho 0.0774 0.7480 0.0973
Ho3 Ho 0.6835 0.3083 0.3247
Ho4 Ho 0.3165 0.6917 0.6753
Hg1 Hg 0.5954 0.1266 0.6826
Hg2 Hg 0.4046 0.8734 0.3174
In1 In 0.3471 0.1943 0.1115
In2 In 0.0855 0.2724 0.5565
In3 In 0.9145 0.7276 0.4435
In4 In 0.6529 0.8057 0.8885
```

(2)
A geometry-optimized Ho2In2Hg structure, computed with PBE.

Summary:
For the density of states at the Fermi level, the calculation gives 3.77 states/eV/f.u. The value obtained for the excess energy over the best structure of this formula in the dataset is 0.148 eV/atom. Its formation energy is -1.3 eV/f.u.

CIF file:
```
data_Ho2In2Hg
_chemical_formula_sum 'Ho4 In4 Hg2'
_space_group_name_H-M_alt 'P 1'
_space_group_IT_number 1
_cell_length_a 3.7021
_cell_length_b 8.7410
_cell_length_c 8.7404
_cell_angle_alpha 90.00
_cell_angle_beta 90.00
_cell_angle_gamma 90.00
loop_
_space_group_symop_operation_xyz
'x,y,z'
loop_
_atom_site_label
_atom_site_type_symbol
_atom_site_fract_x
_atom_site_fract_y
_atom_site_fract_z
Ho1 Ho 0.0000 0.8198 0.6802
Ho2 Ho 0.0000 0.6802 0.1802
Ho3 Ho 0.0000 0.3198 0.8198
Ho4 Ho 0.0000 0.1802 0.3198
In1 In 0.5000 0.3802 0.1198
In2 In 0.5000 0.6198 0.8802
In3 In 0.5000 0.8802 0.3802
In4 In 0.5000 0.1198 0.6198
Hg1 Hg 0.0000 0.5000 0.5000
Hg2 Hg 0.0000 0.0000 0.0000
```

(3)
A geometry-optimized Ho6In2Hg structure, computed with PBE.

Summary:
For the density of states at the Fermi level, the calculation gives 11.70 states/eV/f.u. Its formation energy is -0.8 eV/f.u.

CIF file:
```
data_Ho6In2Hg
_chemical_formula_sum 'Ho6 In2 Hg1'
_space_group_name_H-M_alt 'P 1'
_space_group_IT_number 1
_cell_length_a 5.1253
_cell_length_b 7.2624
_cell_length_c 8.8832
_cell_angle_alpha 114.13
_cell_angle_beta 106.76
_cell_angle_gamma 90.00
loop_
_space_group_symop_operation_xyz
'x,y,z'
loop_
_atom_site_label
_atom_site_type_symbol
_atom_site_fract_x
_atom_site_fract_y
_atom_site_fract_z
Ho1 Ho 0.5000 0.7574 0.0000
Ho2 Ho 0.8356 0.5891 0.6708
Ho3 Ho 0.1644 0.9184 0.3292
Ho4 Ho 0.8356 0.0816 0.6708
Ho5 Ho 0.1644 0.4109 0.3292
Ho6 Ho 0.5000 0.2426 0.0000
Hg1 Hg 0.0000 0.0000 0.0000
In1 In 0.6659 0.6663 0.3325
In2 In 0.3341 0.3337 0.6675
```

(4)
A geometry-optimized HoIn2Hg9 structure, computed with PBE.

Summary:
For the density of states at the Fermi level, the calculation gives 3.88 states/eV/f.u. Its formation energy is -1.2 eV/f.u.

CIF file:
```
data_HoIn2Hg9
_chemical_formula_sum 'Ho1 In2 Hg9'
_space_group_name_H-M_alt 'P 1'
_space_group_IT_number 1
_cell_length_a 4.9216
_cell_length_b 4.2303
_cell_length_c 14.7585
_cell_angle_alpha 90.00
_cell_angle_beta 90.00
_cell_angle_gamma 90.00
loop_
_space_group_symop_operation_xyz
'x,y,z'
loop_
_atom_site_label
_atom_site_type_symbol
_atom_site_fract_x
_atom_site_fract_y
_atom_site_fract_z
Hg1 Hg 0.5000 0.5000 0.3304
Hg2 Hg 0.5000 0.5000 0.0000
Hg3 Hg 0.5000 0.0000 0.5000
Hg4 Hg 0.0000 0.5000 0.5000
Hg5 Hg 0.0000 0.5000 0.1600
Hg6 Hg 0.5000 0.0000 0.1606
Hg7 Hg 0.5000 0.5000 0.6696
Hg8 Hg 0.5000 0.0000 0.8394
Hg9 Hg 0.0000 0.5000 0.8400
In1 In 0.0000 0.0000 0.3280
In2 In 0.0000 0.0000 0.6720
Ho1 Ho 0.0000 0.0000 0.0000
```

no.,E_tot (eV per atom)
1,-3.39
2,-3.24
3,-3.79
4,-1.16